Record 1
## VZnOsW (PBE)

Data for crystalline VZnOsW at its relaxed geometry.

- formation energy from the elements (eV/atom) = 0.06
- VASP energy (eV/atom) = -8.58

a b c (Å): 6.164 6.164 6.164
angles (deg): 90.00 90.00 90.00
Space group F-43m (No. 216)
Inequivalent atoms, fractional coordinates:
V  0.000  0.000  0.000 x4
Zn  0.250  0.250  0.250 x4
Os  0.000  0.000  0.500 x4
W  0.250  0.250  0.750 x4

Record 2
## BeSiTe (PBE)

Data for crystalline BeSiTe at its relaxed geometry.

- VASP energy (eV/atom) = -4.05
- polymorph energy (0 for the lowest one) (meV/atom) = 99.3
- uncorrected formation energy (eV/atom) = 0.050

a b c (Å): 5.984 3.949 6.347
angles (deg): 90.00 92.40 90.00
Space group Pm (No. 6)
Inequivalent atoms, fractional coordinates:
Be  0.000  0.000  0.000 x1
Be  0.348  0.500  0.487 x1
Si  0.519  0.500  0.796 x1
Si  0.621  0.000  0.988 x1
Te  0.065  0.500  0.778 x1
Te  0.308  0.000  0.273 x1

Record 3
## SmAgS2 (PBE)

Data for crystalline SmAgS2 at its relaxed geometry.

- VASP energy (eV/atom) = -5.24
- uncorrected formation energy (eV/atom) = -1.283

a b c (Å): 4.2103 4.2103 22.6705
angles (deg): 90.00 90.00 120.00
Space group R-3m (No. 166, hexagonal axes)
Inequivalent atoms, fractional coordinates:
Sm  0.0000  0.0000  0.0000 x3
Ag  0.0000  0.0000  0.5000 x3
S  0.0000  0.0000  0.3959 x6

Record 4
## Be2ReBr (PBE)

Data for crystalline Be2ReBr at its relaxed geometry.

- VASP energy (eV/atom) = -5.01
- polymorph energy (0 for the lowest one) (meV/atom) = 0.0
- uncorrected formation energy (eV/atom) = 0.382

a b c (Å): 3.113 3.113 5.817
angles (deg): 90.00 90.00 90.00
Space group P4/mmm (No. 123)
Inequivalent atoms, fractional coordinates:
Be  0.000  0.000  0.173 x2
Re  0.500  0.500  0.000 x1
Br  0.500  0.500  0.500 x1

Record 5
## Zn2CuAs (PBE)

Data for crystalline Zn2CuAs at its relaxed geometry.

- formation energy from the elements (eV/atom) = 0.12
- VASP energy (eV/atom) = -2.71

a b c (Å): 3.883 4.072 7.847
angles (deg): 90.00 90.00 90.00
Space group Cmm2 (No. 35)
Inequivalent atoms, fractional coordinates:
Zn  0.000  0.000  0.000 x2
Zn  0.000  0.500  0.248 x2
Cu  0.000  0.500  0.780 x2
As  0.000  0.000  0.544 x2

Record 6
## Ac2Pm4Pr2Sm (PBE)

Data for crystalline Ac2Pm4Pr2Sm at its relaxed geometry.

- formation energy from the elements (eV/atom) = 0.03
- VASP energy (eV/atom) = -4.58

a b c (Å): 19.504 3.784 10.055
angles (deg): 90.00 115.79 90.00
Space group C2/m (No. 12)
Inequivalent atoms, fractional coordinates:
Ac  0.146  0.000  0.164 x4
Pm  0.018  0.500  0.821 x4
Pm  0.184  0.000  0.832 x4
Pr  0.165  0.500  0.504 x4
Sm  0.000  0.000  0.500 x2

Record 7
## Sc2ZnPb (PBE)

Data for crystalline Sc2ZnPb at its relaxed geometry.

- formation energy from the elements (eV/atom) = -0.33
- VASP energy (eV/atom) = -4.74

a b c (Å): 4.545 4.545 8.306
angles (deg): 90.00 90.00 90.00
Space group I4/mmm (No. 139)
Inequivalent atoms, fractional coordinates:
Sc  0.000  0.500  0.250 x4
Zn  0.000  0.000  0.000 x2
Pb  0.000  0.000  0.500 x2

Record 8
## Hg2PtCl (PBE)

Data for crystalline Hg2PtCl at its relaxed geometry.

- VASP energy (eV/atom) = -1.74
- polymorph energy (0 for the lowest one) (meV/atom) = 441.1
- uncorrected formation energy (eV/atom) = 0.383

a b c (Å): 6.937 6.937 6.937
angles (deg): 90.00 90.00 90.00
Space group F-43m (No. 216)
Inequivalent atoms, fractional coordinates:
Hg  0.000  0.000  0.000 x4
Hg  0.250  0.250  0.250 x4
Pt  0.250  0.250  0.750 x4
Cl  0.000  0.000  0.500 x4